i:
Entry from the Alexandria database: an optimized crystal structure of TaCo2F (GGA+U).

```
data_TaCo2F
_chemical_formula_sum 'Ta4 Co8 F4'
_space_group_name_H-M_alt 'F m -3 m'
_space_group_IT_number 225
_space_group_name_Hall '-F 4 2 3'
_cell_length_a 5.8152
_cell_length_b 5.8152
_cell_length_c 5.8152
_cell_angle_alpha 90.00
_cell_angle_beta 90.00
_cell_angle_gamma 90.00
loop_
_atom_site_label
_atom_site_type_symbol
_atom_site_fract_x
_atom_site_fract_y
_atom_site_fract_z
Ta1 Ta 0.0000 0.0000 0.0000
Co1 Co 0.2500 0.2500 0.2500
F1 F 0.0000 0.0000 0.5000
```

Summary:
Crystal system: cubic
Theoretical density (g cm⁻³): 10.73

---

ii:
Entry from the Alexandria database: an optimized crystal structure of TaCo2F (GGA+U).

```
data_TaCo2F
_chemical_formula_sum 'Ta4 Co8 F4'
_space_group_name_H-M_alt 'I -4 2 d'
_space_group_IT_number 122
_space_group_name_Hall 'I -4 2bw'
_cell_length_a 6.6775
_cell_length_b 6.6775
_cell_length_c 4.7058
_cell_angle_alpha 90.00
_cell_angle_beta 90.00
_cell_angle_gamma 90.00
loop_
_atom_site_label
_atom_site_type_symbol
_atom_site_fract_x
_atom_site_fract_y
_atom_site_fract_z
Ta1 Ta 0.0000 0.0000 0.0000
Co1 Co 0.2092 0.2500 0.6250
F1 F 0.0000 0.0000 0.5000
```

Summary:
Crystal system: tetragonal
Theoretical density (g cm⁻³): 10.06

---

It is ii that is most stable; the runner-up trails by 439 meV/atom.